Entry 1:
An optimized crystal structure of MnNbPt2. Source: the Alexandria database, functional PBE.

abc: 3.8740 3.8740 9.4310
angles: 78.15 78.15 90.00
Closest atoms and distances in Å follow each position.
Element x y z (fractional)
Nb 0.0000 0.0000 0.0000  4 Pt 2.65, 4 Mn 2.74
Nb 0.7500 0.2500 0.5000  4 Pt 2.65, 4 Mn 2.74
Mn 0.5000 0.5000 0.0000  4 Pt 2.62, 4 Nb 2.74
Mn 0.2500 0.7500 0.5000  4 Pt 2.62, 4 Nb 2.74
Pt 0.6143 0.1250 0.2500  2 Mn 2.62, 2 Nb 2.65, 4 Pt 2.68-2.80
Pt 0.1357 0.6250 0.2500  2 Mn 2.62, 2 Nb 2.65, 4 Pt 2.68-2.80
Pt 0.3750 0.3857 0.7500  2 Mn 2.62, 2 Nb 2.65, 4 Pt 2.68-2.80
Pt 0.8750 0.8643 0.7500  2 Mn 2.62, 2 Nb 2.65, 4 Pt 2.68-2.80

Results
Its formation enthalpy at 0 K is -8 meV per atom. The calculation puts the total DFT energy (no corrections) at -7.8378 eV per atom. As for the total magnetization: 5.105 μB per cell. The calculation puts the volume at 16.93 Å³/atom.

=====

Entry 2:
An optimized crystal structure of HoVTc2. Source: the Alexandria database, functional PBE.

abc: 3.0726 3.0726 8.5184
angles: 79.61 79.61 60.00
Closest atoms and distances in Å follow each position.
Element x y z (fractional)
V 0.0000 0.0000 0.0000  6 Tc 2.53
Ho 0.5000 0.5000 0.5000  6 Tc 2.95, 6 Ho 3.07
Tc 0.7390 0.7390 0.7829  3 V 2.53
Tc 0.2610 0.2610 0.2171  3 V 2.53

Results
Its formation enthalpy at 0 K is 225 meV per atom. The calculation puts the total DFT energy (no corrections) at -8.3823 eV per atom. As for the total magnetization: 0.000 μB per cell. The calculation puts the volume at 17.03 Å³/atom. For the relative energy among the computed polymorphs, the calculation gives 0.2777 eV/atom.